Record 1
## NaErPd (GGA-PBE)

Data for an optimized crystal structure of NaErPd.

Density of states at the Fermi level, states/eV per atom: 0.420
E_form, eV per formula unit: -1.25

The structure in POSCAR format:
```
NaErPd
1.0
2.861 -2.816 0.000
2.861 2.816 0.000
-2.847 0.000 8.959
Na Er Pd
2 2 2
direct
0.246 0.246 0.000 Na
0.754 0.754 0.000 Na
0.314 0.314 0.628 Er
0.686 0.686 0.372 Er
0.153 0.153 0.305 Pd
0.847 0.847 0.695 Pd
```

---

Record 2
## AcGa2NiPd5 (GGA-PBE)

Data for an optimized crystal structure of AcGa2NiPd5.

Density of states at the Fermi level, states/eV per atom: 0.727
E_form, eV per formula unit: -2.89

The structure in POSCAR format:
```
AcGa2NiPd5
1.0
4.806 0.000 0.000
0.000 4.806 0.000
0.000 0.000 7.300
Ac Ga Ni Pd
1 2 1 5
direct
0.000 0.000 0.000 Ac
0.500 0.500 0.334 Ga
0.500 0.500 0.666 Ga
0.000 0.000 0.500 Ni
0.000 0.500 0.302 Pd
0.000 0.500 0.698 Pd
0.500 0.000 0.302 Pd
0.500 0.000 0.698 Pd
0.500 0.500 0.000 Pd
```

---

Record 3
## Li2CuPt (GGA-PBE)

Data for an optimized crystal structure of Li2CuPt.

Density of states at the Fermi level, states/eV per atom: 0.342
E_form, eV per formula unit: -1.50

The structure in POSCAR format:
```
Li2CuPt
1.0
4.641 -1.489 0.000
4.641 1.489 0.000
-1.870 0.000 3.837
Li Cu Pt
2 1 1
direct
0.245 0.245 0.245 Li
0.755 0.755 0.755 Li
0.500 0.500 0.000 Cu
0.000 0.000 0.500 Pt
```

---

Look up the E_form of the third one. -1.50 eV per formula unit